Computed, not measured: crystalline Be2IO2 at its relaxed geometry at the PBE-GGA level of DFT.

Energy relative to the elements, uncorrected (eV per atom): -1.70
SG: I4/mmm, No. 139
Fermi-level density of states (states/eV/atom): 0.22

Cell lengths 3.3423, 3.3423, 8.3773 Å; angles 78.49, 78.49, 90.00 degrees
Atoms (fractional coordinates):
Be1 0.7506 0.7506 0.4988
Be2 0.2494 0.2494 0.5012
O1 0.2500 0.7500 0.5000
O2 0.7500 0.2500 0.5000
I1 0.0000 0.0000 0.0000